A plane-wave DFT calculation with PBE-GGA was carried out for a relaxed structure of LiRuCl2.

Calculated values
**Formation energy (no corrections)**: -142 kJ/mol of formula units
**Excess energy over the best structure of this formula in the dataset**: 9.65 kJ per mole of atoms
**Total magnetic moment**: 3.000 μB/f.u.
**Volume**: 69.6 Å³ per cell
**Total DFT energy (no corrections)**: -4.09 eV/atom

Unit cell a=3.411 b=3.411 c=7.181 alpha=103.65 beta=103.65 gamma=59.98
Positions (direct):
Li 0.000 0.000 0.000
Ru 0.500 0.500 0.500
Cl 0.260 0.260 0.777
Cl 0.740 0.740 0.223